Here is AcMgMoO6 after structural relaxation from Alexandria. Energies are from PBE with a Hubbard U.

Lattice parameters (Å, degrees): 5.3522 5.3522 5.2578 90.00 90.00 120.00
Space group P312 (No. 149)
Inequivalent atoms, fractional coordinates:
Ac (0.0000, 0.0000, 0.0000) [1 per cell]
Mg (0.3333, 0.6667, 0.5000) [1 per cell]
Mo (0.6667, 0.3333, 0.5000) [1 per cell]
O (0.3847, 0.0201, 0.7098) [6 per cell]

Properties
magnetic moment = 1.056 μB/f.u.
N(E_F) = 7.84 states/eV/f.u.
raw total energy = -6.944 eV per atom